A relaxed structure of Cr2Si. Source: the Alexandria database, functional PBE.

Cell: 8.9977 2.6280 6.3300 Å, 90.00 107.07 90.00°
Space group C2/m (No. 12)
Inequivalent atoms, fractional coordinates:
Cr: 0.1278 0.0000 0.0115 (multiplicity 4)
Cr: 0.1719 0.0000 0.6486 (multiplicity 4)
Si: 0.0501 0.5000 0.3063 (multiplicity 4)

- Density of states at the Fermi level: 3.313 states/eV/f.u.
- Formation energy without anion corrections: -0.17 eV/f.u.
- Total DFT energy (no corrections): -8.279 eV/atom

=====

A relaxed structure of Dy2SBr2. Source: the Alexandria database, functional PBE.

Cell: 6.8605 3.9646 11.1724 Å, 90.00 103.14 90.00°
Space group C2/m (No. 12)
Inequivalent atoms, fractional coordinates:
Dy: 0.2155 0.0000 0.1321 (multiplicity 4)
S: 0.0000 0.5000 0.0000 (multiplicity 2)
Br: 0.0553 0.0000 0.6986 (multiplicity 4)

- Density of states at the Fermi level: 0.774 states/eV/f.u.
- Formation energy without anion corrections: -9.28 eV/f.u.
- Total DFT energy (no corrections): -5.192 eV/atom

=====

A relaxed structure of ZnCuNi2. Source: the Alexandria database, functional PBE.

Cell: 2.6089 2.6089 6.9125 Å, 90.00 90.00 90.00°
Space group P4mm (No. 99)
Inequivalent atoms, fractional coordinates:
Zn: 0.0000 0.0000 0.0000 (multiplicity 1)
Cu: 0.5000 0.5000 0.2696 (multiplicity 1)
Ni: 0.0000 0.0000 0.5153 (multiplicity 1)
Ni: 0.5000 0.5000 0.7517 (multiplicity 1)

- Density of states at the Fermi level: 4.439 states/eV/f.u.
- Total DFT energy (no corrections): -4.297 eV/atom